# 1
The following is a GGA-PBEsol calculation of Ba2P3 after structural relaxation, from the Alexandria database.

It has space group P-3m1 (No. 164), with a = 4.2015 Å, b = 4.2015 Å, c = 9.6089 Å, α = 90.00°, β = 90.00° and γ = 120.00°. The inequivalent atoms are Ba at (0.3333, 0.6667, 0.2994), P at (0.0000, 0.0000, 0.5000) and P at (0.3333, 0.6667, 0.9651).

As for the density of states at the Fermi level: 0.747 states/eV per atom. Its mass density is 4.16 g/cm3. As for the crystal system: trigonal. The value obtained for the uncorrected energy is -4.877 eV/atom. The value obtained for the formation energy is -543 meV per atom.

# 2
The following is a GGA-PBEsol calculation of Be2NbOs2 after structural relaxation, from the Alexandria database.

It has space group P4/mbm (No. 127), with a = 6.412 Å, b = 6.412 Å, c = 2.931 Å, α = 90.00°, β = 90.00° and γ = 90.00°. The inequivalent atoms are Be at (0.121, 0.379, 0.000), Nb at (0.000, 0.000, 0.000) and Os at (0.167, 0.667, 0.500).

As for the density of states at the Fermi level: 0.339 states/eV per atom. Its mass density is 13.54 g/cm3. As for the crystal system: tetragonal. The value obtained for the uncorrected energy is -8.893 eV/atom. The value obtained for the formation energy is -243 meV per atom.

# 3
The following is a GGA-PBEsol calculation of In2HgSb after structural relaxation, from the Alexandria database.

It has space group Pmmm (No. 47), with a = 3.370 Å, b = 3.468 Å, c = 8.621 Å, α = 90.00°, β = 90.00° and γ = 90.00°. The inequivalent atoms are In at (0.000, 0.000, 0.241), Hg at (0.500, 0.500, 0.000) and Sb at (0.500, 0.500, 0.500).

As for the density of states at the Fermi level: 0.365 states/eV per atom. Its mass density is 9.10 g/cm3. As for the crystal system: orthorhombic. The value obtained for the uncorrected energy is -2.764 eV/atom. As for the raw formation energy: 0.01 eV per atom.

# 4
The following is a GGA-PBEsol calculation of FeRe2Pb after structural relaxation, from the Alexandria database.

It has space group R-3m (No. 166, hexagonal axes), with a = 2.8449 Å, b = 2.8449 Å, c = 27.2748 Å, α = 90.00°, β = 90.00° and γ = 120.00°. The inequivalent atoms are Fe at (0.0000, 0.0000, 0.0000), Re at (0.0000, 0.0000, 0.2622) and Pb at (0.0000, 0.0000, 0.5000).

As for the density of states at the Fermi level: 0.935 states/eV per atom. Its mass density is 16.56 g/cm3. As for the crystal system: trigonal. The value obtained for the uncorrected energy is -9.100 eV/atom. The value obtained for the formation energy is 807 meV per atom.

# 5
The following is a GGA-PBEsol calculation of Ti2HS after structural relaxation, from the Alexandria database.

It has space group I-42d (No. 122), with a = 5.691 Å, b = 5.691 Å, c = 5.692 Å, α = 90.00°, β = 90.00° and γ = 90.00°. The inequivalent atoms are Ti at (0.175, 0.750, 0.125), H at (0.000, 0.000, 0.000) and S at (0.000, 0.000, 0.500).

As for the density of states at the Fermi level: 1.065 states/eV per atom. Its mass density is 4.64 g/cm3. As for the crystal system: tetragonal. The value obtained for the uncorrected energy is -6.890 eV/atom.

# 6
The following is a GGA-PBEsol calculation of TlRe2Ni after structural relaxation, from the Alexandria database.

It has space group P2/m (No. 10), with a = 2.856 Å, b = 4.806 Å, c = 4.591 Å, α = 90.00°, β = 91.71° and γ = 90.00°. The inequivalent atoms are Tl at (0.000, 0.000, 0.000), Re at (0.207, 0.500, 0.272) and Ni at (0.500, 0.000, 0.500).

As for the density of states at the Fermi level: 1.059 states/eV per atom. Its mass density is 16.75 g/cm3. As for the crystal system: monoclinic. The value obtained for the uncorrected energy is -8.116 eV/atom. The value obtained for the formation energy is 747 meV per atom.

> The highest uncorrected energy belongs to which entry?

In2HgSb

> What is the formula in the sixth record?

TlRe2Ni

> What is the mass density in the second record?

13.54 g/cm3

> The lowest mass density belongs to which entry?

Ba2P3